Density functional theory data (PBE) for an optimized crystal structure of BaGdHo. Values from VASP.

Properties
Space group: F-43m (216)
Energy above the lowest structure with this stoichiometry: 0 meV per atom
M_tot: 0.04 μB/cell
Energy: -8.70 eV/cell

Quantum ESPRESSO input file:
```
&SYSTEM
  ibrav = 0, nat = 3, ntyp = 3
/
ATOMIC_SPECIES
Ba 137.33 Ba.upf
Gd 157.25 Gd.upf
Ho 164.93 Ho.upf
ATOMIC_POSITIONS crystal
Ba 0.0000 0.0000 0.0000
Gd 0.5000 0.5000 0.5000
Ho 0.2500 0.2500 0.2500
CELL_PARAMETERS angstrom
0.0000 4.0955 4.0955
4.0955 0.0000 4.0955
4.0955 4.0955 0.0000
```

***

Density functional theory data (PBE) for an optimized crystal structure of MgNiHgAs. Values from VASP.

Properties
Space group: F-43m (216)
Energy above the lowest structure with this stoichiometry: 0 meV per atom
M_tot: 0.00 μB/cell
Energy: -11.96 eV/cell

Quantum ESPRESSO input file:
```
&SYSTEM
  ibrav = 0, nat = 4, ntyp = 4
/
ATOMIC_SPECIES
Mg 24.30 Mg.upf
Ni 58.69 Ni.upf
Hg 200.59 Hg.upf
As 74.92 As.upf
ATOMIC_POSITIONS crystal
Mg 0.0000 0.0000 0.0000
Ni 0.5000 0.5000 0.5000
Hg 0.7500 0.7500 0.7500
As 0.2500 0.2500 0.2500
CELL_PARAMETERS angstrom
0.0000 3.2588 3.2588
3.2588 0.0000 3.2588
3.2588 3.2588 0.0000
```

***

Density functional theory data (PBE) for an optimized crystal structure of PmZrTl. Values from VASP.

Properties
Space group: F-43m (216)
Energy above the lowest structure with this stoichiometry: 499 meV per atom
M_tot: 2.07 μB/cell
Energy: -13.38 eV/cell

Quantum ESPRESSO input file:
```
&SYSTEM
  ibrav = 0, nat = 3, ntyp = 3
/
ATOMIC_SPECIES
Pm 145.00 Pm.upf
Zr 91.22 Zr.upf
Tl 204.38 Tl.upf
ATOMIC_POSITIONS crystal
Pm 0.0000 0.0000 0.0000
Zr 0.2500 0.2500 0.2500
Tl 0.7500 0.7500 0.7500
CELL_PARAMETERS angstrom
0.0000 3.6222 3.6222
3.6222 0.0000 3.6222
3.6222 3.6222 0.0000
```

***

Density functional theory data (PBE) for an optimized crystal structure of YTmW. Values from VASP.

Properties
Space group: F-43m (216)
Energy above the lowest structure with this stoichiometry: 0 meV per atom
M_tot: 0.02 μB/cell
Energy: -21.30 eV/cell
ΔH_f (0 K): 0.866 eV/atom

Quantum ESPRESSO input file:
```
&SYSTEM
  ibrav = 0, nat = 3, ntyp = 3
/
ATOMIC_SPECIES
Y 88.91 Y.upf
Tm 168.93 Tm.upf
W 183.84 W.upf
ATOMIC_POSITIONS crystal
Y 0.0000 0.0000 0.0000
Tm 0.5000 0.5000 0.5000
W 0.7500 0.7500 0.7500
CELL_PARAMETERS angstrom
0.0000 3.4338 3.4338
3.4338 0.0000 3.4338
3.4338 3.4338 0.0000
```

***

Density functional theory data (PBE) for an optimized crystal structure of Nb2Te2Pd. Values from VASP.

Properties
Space group: I4/mmm (139)
M_tot: 0.01 μB/cell
Energy: -30.80 eV/cell

Quantum ESPRESSO input file:
```
&SYSTEM
  ibrav = 0, nat = 5, ntyp = 3
/
ATOMIC_SPECIES
Nb 92.91 Nb.upf
Te 127.60 Te.upf
Pd 106.42 Pd.upf
ATOMIC_POSITIONS crystal
Nb 0.2500 0.7500 0.5000
Nb 0.7500 0.2500 0.5000
Te 0.1104 0.1104 0.0000
Te 0.8896 0.8896 0.0000
Pd 0.5000 0.5000 0.0000
CELL_PARAMETERS angstrom
-2.0474 2.0474 6.7625
2.0474 -2.0474 6.7625
2.0474 2.0474 -6.7625
```

***

Density functional theory data (PBE) for an optimized crystal structure of Ge2PdPt. Values from VASP.

Properties
Space group: P2_1/m (11)
Energy above the lowest structure with this stoichiometry: 0 meV per atom
M_tot: 0.00 μB/cell
Energy: -44.83 eV/cell

Quantum ESPRESSO input file:
```
&SYSTEM
  ibrav = 0, nat = 8, ntyp = 3
/
ATOMIC_SPECIES
Ge 72.64 Ge.upf
Pd 106.42 Pd.upf
Pt 195.08 Pt.upf
ATOMIC_POSITIONS crystal
Ge 0.1856 0.2500 0.4176
Ge 0.3101 0.7500 0.9180
Ge 0.6899 0.2500 0.0820
Ge 0.8144 0.7500 0.5824
Pd 0.4972 0.7500 0.3096
Pd 0.5028 0.2500 0.6904
Pt 0.0022 0.2500 0.8049
Pt 0.9978 0.7500 0.1951
CELL_PARAMETERS angstrom
5.8449 0.0000 0.0000
0.0000 3.6585 0.0000
-0.0154 0.0000 6.2595
```

***

Density functional theory data (PBE) for an optimized crystal structure of Ag2TeIr. Values from VASP.

Properties
Space group: F-43m (216)
M_tot: 0.00 μB/cell
Energy: -16.19 eV/cell

Quantum ESPRESSO input file:
```
&SYSTEM
  ibrav = 0, nat = 4, ntyp = 3
/
ATOMIC_SPECIES
Ag 107.87 Ag.upf
Te 127.60 Te.upf
Ir 192.22 Ir.upf
ATOMIC_POSITIONS crystal
Ag 0.0000 0.0000 0.0000
Ag 0.2500 0.2500 0.2500
Te 0.5000 0.5000 0.5000
Ir 0.7500 0.7500 0.7500
CELL_PARAMETERS angstrom
0.0000 3.3212 3.3212
3.3212 0.0000 3.3212
3.3212 3.3212 0.0000
```

***

Density functional theory data (PBE) for an optimized crystal structure of AgP2. Values from VASP.

Properties
Space group: P2_1/c (14)
Energy above the lowest structure with this stoichiometry: 0 meV per atom
Energy: -54.69 eV/cell

Quantum ESPRESSO input file:
```
&SYSTEM
  ibrav = 0, nat = 12, ntyp = 2
/
ATOMIC_SPECIES
Ag 107.87 Ag.upf
P 30.97 P.upf
ATOMIC_POSITIONS crystal
Ag 0.1460 0.0461 0.4027
Ag 0.1460 0.4539 0.9027
Ag 0.8540 0.5461 0.0973
Ag 0.8540 0.9539 0.5973
P 0.2757 0.7327 0.6991
P 0.2757 0.7673 0.1991
P 0.4103 0.0935 0.0838
P 0.4103 0.4065 0.5838
P 0.5897 0.5935 0.4162
P 0.5897 0.9065 0.9162
P 0.7243 0.2327 0.8009
P 0.7243 0.2673 0.3009
CELL_PARAMETERS angstrom
6.2351 0.0000 0.0000
0.0000 5.1102 0.0000
-3.1344 0.0000 7.2276
```

***

Please write out number 4 again, unchanged.
Density functional theory data (PBE) for an optimized crystal structure of YTmW. Values from VASP.

Properties
Space group: F-43m (216)
Energy above the lowest structure with this stoichiometry: 0 meV per atom
M_tot: 0.02 μB/cell
Energy: -21.30 eV/cell
ΔH_f (0 K): 0.866 eV/atom

Quantum ESPRESSO input file:
```
&SYSTEM
  ibrav = 0, nat = 3, ntyp = 3
/
ATOMIC_SPECIES
Y 88.91 Y.upf
Tm 168.93 Tm.upf
W 183.84 W.upf
ATOMIC_POSITIONS crystal
Y 0.0000 0.0000 0.0000
Tm 0.5000 0.5000 0.5000
W 0.7500 0.7500 0.7500
CELL_PARAMETERS angstrom
0.0000 3.4338 3.4338
3.4338 0.0000 3.4338
3.4338 3.4338 0.0000
```

***

Among the records above, which one has the highest energy? BaGdHo